Here is crystalline CoAgGeMo at its relaxed geometry from OQMD. Energies are from PBE.

Cell and atoms, written as CIF:
```
data_CoAgGeMo
_space_group_name_H-M_alt 'F -4 3 m'
_space_group_IT_number 216
_space_group_name_Hall 'F -4 2 3'
_cell_length_a 6.1779
_cell_length_b 6.1779
_cell_length_c 6.1779
_cell_angle_alpha 90.00
_cell_angle_beta 90.00
_cell_angle_gamma 90.00
loop_
_atom_site_label
_atom_site_fract_x
_atom_site_fract_y
_atom_site_fract_z
Co1 0.0000 0.0000 0.0000
Ag1 0.2500 0.2500 0.2500
Ge1 0.2500 0.2500 0.7500
Mo1 0.0000 0.0000 0.5000
```

Values from the calculation:
Total energy (eV per cell): -95.22
Spin magnetization (μB per cell): 4.9


Here is crystalline CdCl2 at its relaxed geometry from OQMD. Energies are from PBE.

Cell and atoms, written as CIF:
```
data_CdCl2
_space_group_name_H-M_alt 'P -1'
_space_group_IT_number 2
_cell_length_a 6.0793
_cell_length_b 6.9672
_cell_length_c 7.2925
_cell_angle_alpha 104.00
_cell_angle_beta 104.98
_cell_angle_gamma 110.67
loop_
_space_group_symop_operation_xyz
'x,y,z'
'-x,-y,-z'
loop_
_atom_site_label
_atom_site_fract_x
_atom_site_fract_y
_atom_site_fract_z
Cd1 0.1454 0.1327 0.3708
Cl1 0.0000 0.0000 0.0000
Cl2 0.2047 0.8519 0.5104
Cl3 0.5000 0.5000 0.5000
```

Values from the calculation:
Total energy (eV per cell): -14.92


Here is crystalline TaFeNiB at its relaxed geometry from OQMD. Energies are from PBE.

Cell and atoms, written as CIF:
```
data_TaFeNiB
_space_group_name_H-M_alt 'F -4 3 m'
_space_group_IT_number 216
_space_group_name_Hall 'F -4 2 3'
_cell_length_a 5.6753
_cell_length_b 5.6753
_cell_length_c 5.6753
_cell_angle_alpha 90.00
_cell_angle_beta 90.00
_cell_angle_gamma 90.00
loop_
_atom_site_label
_atom_site_fract_x
_atom_site_fract_y
_atom_site_fract_z
Ta1 0.0000 0.0000 0.0000
Fe1 0.2500 0.2500 0.7500
Ni1 0.2500 0.2500 0.2500
B1 0.0000 0.0000 0.5000
```

Values from the calculation:
Total energy (eV per cell): -126.75
Spin magnetization (μB per cell): 6.8


Here is crystalline SmGd2Al7Ag2 at its relaxed geometry from OQMD. Energies are from PBE.

Cell and atoms, written as CIF:
```
data_SmGd2Al7Ag2
_space_group_name_H-M_alt 'R -3 m'
_space_group_IT_number 166
_space_group_name_Hall '-R 3 2"'
_cell_length_a 5.5907
_cell_length_b 5.5907
_cell_length_c 26.4483
_cell_angle_alpha 90.00
_cell_angle_beta 90.00
_cell_angle_gamma 120.00
loop_
_atom_site_label
_atom_site_fract_x
_atom_site_fract_y
_atom_site_fract_z
Sm1 0.0000 0.0000 0.0000
Gd1 0.0000 0.0000 0.1418
Al1 0.0000 0.0000 0.5000
Al2 0.0082 0.5041 0.9168
Ag1 0.0000 0.0000 0.3359
```

Values from the calculation:
Total energy (eV per cell): -154.67
Spin magnetization (μB per cell): 0.0


Here is crystalline Hf3Zr3AlSb2 at its relaxed geometry from OQMD. Energies are from PBE.

Cell and atoms, written as CIF:
```
data_Hf3Zr3AlSb2
_space_group_name_H-M_alt 'P -6 2 m'
_space_group_IT_number 189
_space_group_name_Hall 'P -6 -2'
_cell_length_a 7.6252
_cell_length_b 7.6252
_cell_length_c 3.9254
_cell_angle_alpha 90.00
_cell_angle_beta 90.00
_cell_angle_gamma 120.00
loop_
_atom_site_label
_atom_site_fract_x
_atom_site_fract_y
_atom_site_fract_z
Hf1 0.0000 0.3984 0.0000
Zr1 0.0000 0.7529 0.5000
Al1 0.0000 0.0000 0.0000
Sb1 0.3333 0.6667 0.5000
```

Values from the calculation:
Total energy (eV per cell): -71.77
Spin magnetization (μB per cell): 0.0


Here is crystalline CdIn2Pb2 at its relaxed geometry from OQMD. Energies are from PBE.

Cell and atoms, written as CIF:
```
data_CdIn2Pb2
_space_group_name_H-M_alt 'I 4/m m m'
_space_group_IT_number 139
_space_group_name_Hall '-I 4 2'
_cell_length_a 4.7140
_cell_length_b 4.7140
_cell_length_c 14.5091
_cell_angle_alpha 90.00
_cell_angle_beta 90.00
_cell_angle_gamma 90.00
loop_
_atom_site_label
_atom_site_fract_x
_atom_site_fract_y
_atom_site_fract_z
Cd1 0.0000 0.0000 0.0000
In1 0.0000 0.0000 0.4005
Pb1 0.0000 0.5000 0.2500
```

Values from the calculation:
Total energy (eV per cell): -25.93


Here is crystalline DyRe2N8 at its relaxed geometry from OQMD. Energies are from PBE.

Cell and atoms, written as CIF:
```
data_DyRe2N8
_space_group_name_H-M_alt 'P -1'
_space_group_IT_number 2
_cell_length_a 5.0106
_cell_length_b 5.2710
_cell_length_c 5.6090
_cell_angle_alpha 68.00
_cell_angle_beta 89.63
_cell_angle_gamma 82.49
loop_
_space_group_symop_operation_xyz
'x,y,z'
'-x,-y,-z'
loop_
_atom_site_label
_atom_site_fract_x
_atom_site_fract_y
_atom_site_fract_z
Dy1 0.0000 0.0000 0.0000
Re1 0.4709 0.7421 0.5659
N1 0.2573 0.0515 0.6335
N2 0.2657 0.4903 0.8662
N3 0.2856 0.3194 0.0757
N4 0.2892 0.6601 0.3265
```

Values from the calculation:
Total energy (eV per cell): -95.57
Spin magnetization (μB per cell): 0.0


Here is crystalline NdTmHg2Au4 at its relaxed geometry from OQMD. Energies are from PBE.

Cell and atoms, written as CIF:
```
data_NdTmHg2Au4
_space_group_name_H-M_alt 'P 4/m m m'
_space_group_IT_number 123
_space_group_name_Hall '-P 4 2'
_cell_length_a 4.9625
_cell_length_b 4.9625
_cell_length_c 7.0186
_cell_angle_alpha 90.00
_cell_angle_beta 90.00
_cell_angle_gamma 90.00
loop_
_atom_site_label
_atom_site_fract_x
_atom_site_fract_y
_atom_site_fract_z
Nd1 0.0000 0.0000 0.0000
Tm1 0.5000 0.5000 0.5000
Hg1 0.0000 0.0000 0.5000
Hg2 0.5000 0.5000 0.0000
Au1 0.0000 0.5000 0.2633
```

Values from the calculation:
Energy of formation from the pure elements (eV per atom): -0.5855
Spin magnetization (μB per cell): 0.0


Here is crystalline GdDyIn2 at its relaxed geometry from OQMD. Energies are from PBE.

Cell and atoms, written as CIF:
```
data_GdDyIn2
_space_group_name_H-M_alt 'P 4/m m m'
_space_group_IT_number 123
_space_group_name_Hall '-P 4 2'
_cell_length_a 3.5419
_cell_length_b 3.5419
_cell_length_c 8.5015
_cell_angle_alpha 90.00
_cell_angle_beta 90.00
_cell_angle_gamma 90.00
loop_
_atom_site_label
_atom_site_fract_x
_atom_site_fract_y
_atom_site_fract_z
Gd1 0.0000 0.0000 0.0000
Dy1 0.0000 0.0000 0.5000
In1 0.5000 0.5000 0.2529
```

Values from the calculation:
Total energy (eV per cell): -16.64
Spin magnetization (μB per cell): 0.0


Here is crystalline PrGdNi2P4 at its relaxed geometry from OQMD. Energies are from PBE.

Cell and atoms, written as CIF:
```
data_PrGdNi2P4
_space_group_name_H-M_alt 'P 4 m m'
_space_group_IT_number 99
_cell_length_a 3.7625
_cell_length_b 3.7625
_cell_length_c 9.7807
_cell_angle_alpha 90.00
_cell_angle_beta 90.00
_cell_angle_gamma 90.00
loop_
_space_group_symop_operation_xyz
'x,y,z'
'-y,x,z'
'-x,-y,z'
'y,-x,z'
'-x,y,z'
'y,x,z'
'x,-y,z'
'-y,-x,z'
loop_
_atom_site_label
_atom_site_fract_x
_atom_site_fract_y
_atom_site_fract_z
Pr1 0.0000 0.0000 0.0000
Gd1 0.5000 0.5000 0.4682
Ni1 0.0000 0.5000 0.7273
P1 0.0000 0.0000 0.5978
P2 0.0000 0.5000 0.2403
P3 0.5000 0.5000 0.8554
```

Values from the calculation:
Total energy (eV per cell): -49.89
Spin magnetization (μB per cell): 0.0


Here is crystalline LaSmZn2Ge2 at its relaxed geometry from OQMD. Energies are from PBE.

Cell and atoms, written as CIF:
```
data_LaSmZn2Ge2
_space_group_name_H-M_alt 'P 63/m m c'
_space_group_IT_number 194
_space_group_name_Hall '-P 6c 2c'
_cell_length_a 4.3280
_cell_length_b 4.3280
_cell_length_c 16.5639
_cell_angle_alpha 90.00
_cell_angle_beta 90.00
_cell_angle_gamma 120.00
loop_
_atom_site_label
_atom_site_fract_x
_atom_site_fract_y
_atom_site_fract_z
La1 0.0000 0.0000 0.0000
Sm1 0.0000 0.0000 0.2500
Zn1 0.3333 0.6667 0.1473
Ge1 0.3333 0.6667 0.6195
```

Values from the calculation:
Total energy (eV per cell): -51.37
Spin magnetization (μB per cell): 0.0


Q: Which formula does entry 1 have?
A: CoAgGeMo